DFT (PBE) results for a geometry-optimized ZnInH6Ir2 structure.

The energy comes out at -167.203 eV for the cell shown.

It has space group C2/c (No. 15), with a = 7.493 Å, b = 11.934 Å, c = 4.707 Å, α = 90.00°, β = 109.27° and γ = 90.00°. The inequivalent atoms are Zn at (0.000, 0.217, 0.250), In at (0.000, 0.398, 0.750), H at (0.053, 0.097, 0.542), H at (0.199, 0.006, 0.327), H at (0.235, 0.192, 0.867) and Ir at (0.218, 0.399, 0.354).


DFT (PBE) results for a geometry-optimized Zr2InHIr structure.

The energy comes out at -34.115 eV for the cell shown.

It has space group P4/mmm (No. 123), with a = 4.455 Å, b = 4.455 Å, c = 4.066 Å, α = 90.00°, β = 90.00° and γ = 90.00°. The inequivalent atoms are Zr at (0.000, 0.500, 0.000), In at (0.000, 0.000, 0.500), H at (0.500, 0.500, 0.000) and Ir at (0.500, 0.500, 0.500).


DFT (PBE) results for a geometry-optimized K2InH5 structure.

The energy comes out at -44.093 eV for the cell shown.

It has space group I4mm (No. 107), with a = 6.117 Å, b = 6.117 Å, c = 7.561 Å, α = 90.00°, β = 90.00° and γ = 90.00°. The inequivalent atoms are K at (0.000, 0.500, 0.000), In at (0.000, 0.000, 0.226), H at (0.000, 0.000, 0.990) and H at (0.216, 0.216, 0.281).


DFT (PBE) results for a geometry-optimized KIn2H structure.

As for the energy relative to the lowest polymorph listed for this composition: 0.3789 eV per atom. The energy comes out at -30.068 eV for the cell shown.

It has space group Fm-3m (No. 225), with a = 7.665 Å, b = 7.665 Å, c = 7.665 Å, α = 90.00°, β = 90.00° and γ = 90.00°. The inequivalent atoms are K at (0.000, 0.000, 0.000), In at (0.250, 0.250, 0.250) and H at (0.000, 0.000, 0.500).


| no. | Fermi-level density of states (states/eV/cell) |
| --- | --- |
| 1 | 8.39 |
| 2 | 4.54 |
| 3 | 0.00 |
| 4 | 14.79 |